[1]
First-principles (PBE) data for an optimized crystal structure of Li4Zn2In5, as listed in Alexandria via LeMat-Bulk.

Energy   -25.95 eV per cell
Energy of formation from the pure elements   -0.187 eV per atom

Geometry as CIF:
```
data_Li4Zn2In5
_chemical_formula_sum 'Li4 Zn2 In5'
_cell_length_a 7.539
_cell_length_b 3.134
_cell_length_c 9.334
_cell_angle_alpha 90.00
_cell_angle_beta 94.19
_cell_angle_gamma 90.00
_space_group_name_H-M_alt 'P 1 2/m 1'
_space_group_IT_number 10
loop_
_space_group_symop_operation_xyz
'x,y,z'
'-x,-y,-z'
'-x,y,-z'
'x,-y,z'
loop_
_atom_site_label
_atom_site_type_symbol
_atom_site_fract_x
_atom_site_fract_y
_atom_site_fract_z
Li1 Li 0.201 0.000 0.364
Li2 Li 0.239 0.000 0.923
Zn1 Zn 0.073 0.500 0.127
In1 In 0.144 0.500 0.643
In2 In 0.449 0.500 0.167
In3 In 0.500 0.500 0.500
```

=====

[2]
First-principles (PBE) data for an optimized crystal structure of AlP2SCl, as listed in Alexandria via LeMat-Bulk.

Formation energy without anion corrections   2.9 eV/f.u.
Energy   -17.66 eV per cell

Geometry as CIF:
```
data_AlP2SCl
_chemical_formula_sum 'Al1 P2 S1 Cl1'
_cell_length_a 4.762
_cell_length_b 4.762
_cell_length_c 4.481
_cell_angle_alpha 90.00
_cell_angle_beta 90.00
_cell_angle_gamma 90.00
_space_group_name_H-M_alt 'P 4/m m m'
_space_group_IT_number 123
_space_group_name_Hall '-P 4 2'
loop_
_atom_site_label
_atom_site_type_symbol
_atom_site_fract_x
_atom_site_fract_y
_atom_site_fract_z
Al1 Al 0.000 0.000 0.000
P1 P 0.000 0.500 0.000
S1 S 0.000 0.000 0.500
Cl1 Cl 0.500 0.500 0.500
```

=====

[3]
First-principles (PBE) data for an optimized crystal structure of CoCuHPt2, as listed in Alexandria via LeMat-Bulk.

Energy   -26.28 eV per cell

Geometry as CIF:
```
data_CoCuHPt2
_chemical_formula_sum 'Co1 Cu1 H1 Pt2'
_cell_length_a 3.938
_cell_length_b 3.938
_cell_length_c 3.774
_cell_angle_alpha 90.00
_cell_angle_beta 90.00
_cell_angle_gamma 90.00
_space_group_name_H-M_alt 'P 4/m m m'
_space_group_IT_number 123
_space_group_name_Hall '-P 4 2'
loop_
_atom_site_label
_atom_site_type_symbol
_atom_site_fract_x
_atom_site_fract_y
_atom_site_fract_z
Co1 Co 0.000 0.000 0.000
Cu1 Cu 0.500 0.500 0.000
H1 H 0.500 0.500 0.500
Pt1 Pt 0.000 0.500 0.500
```

=====

[4]
First-principles (PBE) data for an optimized crystal structure of Y6Mg5Au, as listed in Alexandria via LeMat-Bulk.

Energy   -105.34 eV per cell
Energy of formation from the pure elements   -0.220 eV per atom

Geometry as CIF:
```
data_Y6Mg5Au
_chemical_formula_sum 'Y12 Mg10 Au2'
_cell_length_a 5.340
_cell_length_b 16.051
_cell_length_c 7.447
_cell_angle_alpha 90.00
_cell_angle_beta 90.00
_cell_angle_gamma 90.00
_space_group_name_H-M_alt 'C m m m'
_space_group_IT_number 65
_space_group_name_Hall '-C 2 2'
loop_
_atom_site_label
_atom_site_type_symbol
_atom_site_fract_x
_atom_site_fract_y
_atom_site_fract_z
Y1 Y 0.000 0.000 0.240
Y2 Y 0.000 0.339 0.246
Mg1 Mg 0.000 0.169 0.500
Mg2 Mg 0.000 0.175 0.000
Mg3 Mg 0.000 0.500 0.500
Au1 Au 0.000 0.500 0.000
```

=====

[5]
First-principles (PBE) data for an optimized crystal structure of Cs2NaAgSe, as listed in Alexandria via LeMat-Bulk.

Formation energy without anion corrections   -2.6 eV/f.u.
Energy   -11.92 eV per cell

Geometry as CIF:
```
data_Cs2NaAgSe
_chemical_formula_sum 'Cs2 Na1 Ag1 Se1'
_cell_length_a 7.063
_cell_length_b 7.063
_cell_length_c 5.405
_cell_angle_alpha 90.00
_cell_angle_beta 90.00
_cell_angle_gamma 90.00
_space_group_name_H-M_alt 'P 4/m m m'
_space_group_IT_number 123
_space_group_name_Hall '-P 4 2'
loop_
_atom_site_label
_atom_site_type_symbol
_atom_site_fract_x
_atom_site_fract_y
_atom_site_fract_z
Cs1 Cs 0.000 0.500 0.000
Na1 Na 0.000 0.000 0.500
Ag1 Ag 0.500 0.500 0.500
Se1 Se 0.000 0.000 0.000
```

=====

[6]
First-principles (PBE) data for an optimized crystal structure of Er2NiSn, as listed in Alexandria via LeMat-Bulk.

Energy   -42.49 eV per cell
Energy of formation from the pure elements   -0.583 eV per atom

Geometry as CIF:
```
data_Er2NiSn
_chemical_formula_sum 'Er4 Ni2 Sn2'
_cell_length_a 6.037
_cell_length_b 4.157
_cell_length_c 8.056
_cell_angle_alpha 90.00
_cell_angle_beta 111.37
_cell_angle_gamma 90.00
_space_group_name_H-M_alt 'P 1 21/m 1'
_space_group_IT_number 11
loop_
_space_group_symop_operation_xyz
'x,y,z'
'-x,-y,-z'
'-x,y+1/2,-z'
'x,-y+1/2,z'
loop_
_atom_site_label
_atom_site_type_symbol
_atom_site_fract_x
_atom_site_fract_y
_atom_site_fract_z
Er1 Er 0.204 0.250 0.450
Er2 Er 0.224 0.250 0.897
Ni1 Ni 0.341 0.750 0.706
Sn1 Sn 0.333 0.750 0.209
```

=====

[7]
First-principles (PBE) data for an optimized crystal structure of MgMn2Br, as listed in Alexandria via LeMat-Bulk.

Formation energy without anion corrections   1.0 eV/f.u.
Energy   -20.56 eV per cell

Geometry as CIF:
```
data_MgMn2Br
_chemical_formula_sum 'Mg1 Mn2 Br1'
_cell_length_a 3.263
_cell_length_b 3.213
_cell_length_c 6.976
_cell_angle_alpha 90.00
_cell_angle_beta 103.44
_cell_angle_gamma 90.00
_space_group_name_H-M_alt 'P 1 m 1'
_space_group_IT_number 6
loop_
_space_group_symop_operation_xyz
'x,y,z'
'x,-y,z'
loop_
_atom_site_label
_atom_site_type_symbol
_atom_site_fract_x
_atom_site_fract_y
_atom_site_fract_z
Mg1 Mg 0.000 0.000 0.000
Mn1 Mn 0.377 0.500 0.751
Mn2 Mn 0.802 0.000 0.600
Br1 Br 0.636 0.500 0.269
```

=====

[8]
First-principles (PBE) data for an optimized crystal structure of K5H5Rh, as listed in Alexandria via LeMat-Bulk.

Energy   -63.54 eV per cell

Geometry as CIF:
```
data_K5H5Rh
_chemical_formula_sum 'K10 H10 Rh2'
_cell_length_a 15.525
_cell_length_b 3.960
_cell_length_c 11.596
_cell_angle_alpha 90.00
_cell_angle_beta 116.22
_cell_angle_gamma 90.00
_space_group_name_H-M_alt 'C 1 2/m 1'
_space_group_IT_number 12
loop_
_space_group_symop_operation_xyz
'x,y,z'
'-x,-y,-z'
'-x,y,-z'
'x,-y,z'
'x+1/2,y+1/2,z'
'-x+1/2,-y+1/2,-z'
'-x+1/2,y+1/2,-z'
'x+1/2,-y+1/2,z'
loop_
_atom_site_label
_atom_site_type_symbol
_atom_site_fract_x
_atom_site_fract_y
_atom_site_fract_z
K1 K 0.000 0.000 0.000
K2 K 0.114 0.500 0.385
K3 K 0.155 0.500 0.740
H1 H 0.000 0.500 0.500
H2 H 0.017 0.000 0.656
H3 H 0.122 0.000 0.553
Rh1 Rh 0.000 0.000 0.500
```

=====

[9]
First-principles (PBE) data for an optimized crystal structure of CaYTa, as listed in Alexandria via LeMat-Bulk.

Energy   -66.41 eV per cell
Energy of formation from the pure elements   1.238 eV per atom

Geometry as CIF:
```
data_CaYTa
_chemical_formula_sum 'Ca4 Y4 Ta4'
_cell_length_a 7.362
_cell_length_b 7.362
_cell_length_c 7.362
_cell_angle_alpha 90.00
_cell_angle_beta 90.00
_cell_angle_gamma 90.00
_space_group_name_H-M_alt 'F -4 3 m'
_space_group_IT_number 216
_space_group_name_Hall 'F -4 2 3'
loop_
_atom_site_label
_atom_site_type_symbol
_atom_site_fract_x
_atom_site_fract_y
_atom_site_fract_z
Ca1 Ca 0.000 0.000 0.000
Y1 Y 0.000 0.000 0.500
Ta1 Ta 0.250 0.250 0.250
```

=====

[10]
First-principles (PBE) data for an optimized crystal structure of Cd2InHgPb, as listed in Alexandria via LeMat-Bulk.

Energy   -16.75 eV per cell
Energy of formation from the pure elements   0.041 eV per atom

Geometry as CIF:
```
data_Cd2InHgPb
_chemical_formula_sum 'Cd4 In2 Hg2 Pb2'
_cell_length_a 8.849
_cell_length_b 3.283
_cell_length_c 9.716
_cell_angle_alpha 90.00
_cell_angle_beta 108.77
_cell_angle_gamma 90.00
_space_group_name_H-M_alt 'P 1 21/m 1'
_space_group_IT_number 11
loop_
_space_group_symop_operation_xyz
'x,y,z'
'-x,-y,-z'
'-x,y+1/2,-z'
'x,-y+1/2,z'
loop_
_atom_site_label
_atom_site_type_symbol
_atom_site_fract_x
_atom_site_fract_y
_atom_site_fract_z
Cd1 Cd 0.033 0.250 0.140
Cd2 Cd 0.068 0.250 0.637
In1 In 0.323 0.250 0.407
Hg1 Hg 0.390 0.750 0.705
Pb1 Pb 0.317 0.250 0.998
```

=====

[11]
First-principles (PBE) data for an optimized crystal structure of Li4GaSn2, as listed in Alexandria via LeMat-Bulk.

Energy   -41.25 eV per cell
Energy of formation from the pure elements   -0.277 eV per atom

Geometry as CIF:
```
data_Li4GaSn2
_chemical_formula_sum 'Li8 Ga2 Sn4'
_cell_length_a 4.654
_cell_length_b 5.712
_cell_length_c 10.577
_cell_angle_alpha 90.00
_cell_angle_beta 102.62
_cell_angle_gamma 90.00
_space_group_name_H-M_alt 'P 1 21/m 1'
_space_group_IT_number 11
loop_
_space_group_symop_operation_xyz
'x,y,z'
'-x,-y,-z'
'-x,y+1/2,-z'
'x,-y+1/2,z'
loop_
_atom_site_label
_atom_site_type_symbol
_atom_site_fract_x
_atom_site_fract_y
_atom_site_fract_z
Li1 Li 0.049 0.250 0.105
Li2 Li 0.234 0.750 0.468
Li3 Li 0.348 0.003 0.696
Ga1 Ga 0.110 0.750 0.217
Sn1 Sn 0.191 0.250 0.382
Sn2 Sn 0.472 0.250 0.949
```

=====

[12]
First-principles (PBE) data for an optimized crystal structure of ScSi3Rh, as listed in Alexandria via LeMat-Bulk.

Formation energy without anion corrections   6.4 eV/f.u.
Energy   -23.50 eV per cell

Geometry as CIF:
```
data_ScSi3Rh
_chemical_formula_sum 'Sc1 Si3 Rh1'
_cell_length_a 4.806
_cell_length_b 4.806
_cell_length_c 4.806
_cell_angle_alpha 90.00
_cell_angle_beta 90.00
_cell_angle_gamma 90.00
_space_group_name_H-M_alt 'P m -3 m'
_space_group_IT_number 221
_space_group_name_Hall '-P 4 2 3'
loop_
_atom_site_label
_atom_site_type_symbol
_atom_site_fract_x
_atom_site_fract_y
_atom_site_fract_z
Sc1 Sc 0.000 0.000 0.000
Si1 Si 0.000 0.000 0.500
Rh1 Rh 0.500 0.500 0.500
```

=====

[13]
First-principles (PBE) data for an optimized crystal structure of HfTaMoCl2, as listed in Alexandria via LeMat-Bulk.

Formation energy without anion corrections   4.7 eV/f.u.
Energy   -31.62 eV per cell

Geometry as CIF:
```
data_HfTaMoCl2
_chemical_formula_sum 'Hf1 Ta1 Mo1 Cl2'
_cell_length_a 4.606
_cell_length_b 4.606
_cell_length_c 5.253
_cell_angle_alpha 90.00
_cell_angle_beta 90.00
_cell_angle_gamma 90.00
_space_group_name_H-M_alt 'P 4/m m m'
_space_group_IT_number 123
_space_group_name_Hall '-P 4 2'
loop_
_atom_site_label
_atom_site_type_symbol
_atom_site_fract_x
_atom_site_fract_y
_atom_site_fract_z
Hf1 Hf 0.000 0.000 0.000
Ta1 Ta 0.500 0.500 0.000
Mo1 Mo 0.500 0.500 0.500
Cl1 Cl 0.000 0.500 0.500
```

=====

[14]
First-principles (PBE) data for an optimized crystal structure of CsRbTl2I8, as listed in Alexandria via LeMat-Bulk.

Formation energy without anion corrections   -8.4 eV/f.u.
Energy   -54.64 eV per cell

Geometry as CIF:
```
data_CsRbTl2I8
_chemical_formula_sum 'Cs2 Rb2 Tl4 I16'
_cell_length_a 8.149
_cell_length_b 8.149
_cell_length_c 19.425
_cell_angle_alpha 90.00
_cell_angle_beta 90.00
_cell_angle_gamma 90.00
_space_group_name_H-M_alt 'I -4'
_space_group_IT_number 82
loop_
_space_group_symop_operation_xyz
'x,y,z'
'y,-x,-z'
'-x,-y,z'
'-y,x,-z'
'x+1/2,y+1/2,z+1/2'
'y+1/2,-x+1/2,-z+1/2'
'-x+1/2,-y+1/2,z+1/2'
'-y+1/2,x+1/2,-z+1/2'
loop_
_atom_site_label
_atom_site_type_symbol
_atom_site_fract_x
_atom_site_fract_y
_atom_site_fract_z
Cs1 Cs 0.000 0.000 0.000
Rb1 Rb 0.000 0.500 0.750
Tl1 Tl 0.000 0.000 0.500
Tl2 Tl 0.000 0.500 0.250
I1 I 0.146 0.246 0.584
I2 I 0.156 0.745 0.169
```

=====

[15]
First-principles (PBE) data for an optimized crystal structure of Cs2CdI5, as listed in Alexandria via LeMat-Bulk.

Formation energy without anion corrections   -6.8 eV/f.u.
Energy   -68.68 eV per cell

Geometry as CIF:
```
data_Cs2CdI5
_chemical_formula_sum 'Cs8 Cd4 I20'
_cell_length_a 6.769
_cell_length_b 19.465
_cell_length_c 14.885
_cell_angle_alpha 90.00
_cell_angle_beta 90.00
_cell_angle_gamma 90.00
_space_group_name_H-M_alt 'C m c m'
_space_group_IT_number 63
_space_group_name_Hall '-C 2c 2'
loop_
_atom_site_label
_atom_site_type_symbol
_atom_site_fract_x
_atom_site_fract_y
_atom_site_fract_z
Cs1 Cs 0.000 0.155 0.094
Cd1 Cd 0.000 0.161 0.750
I1 I 0.000 0.038 0.628
I2 I 0.000 0.264 0.610
I3 I 0.000 0.324 0.250
```

=====

[16]
First-principles (PBE) data for an optimized crystal structure of TaGa3, as listed in Alexandria via LeMat-Bulk.

Energy   -21.25 eV per cell
Energy of formation from the pure elements   -0.080 eV per atom

Geometry as CIF:
```
data_TaGa3
_chemical_formula_sum 'Ta1 Ga3'
_cell_length_a 2.853
_cell_length_b 4.807
_cell_length_c 4.895
_cell_angle_alpha 90.00
_cell_angle_beta 90.00
_cell_angle_gamma 90.00
_space_group_name_H-M_alt 'P m m 2'
_space_group_IT_number 25
loop_
_space_group_symop_operation_xyz
'x,y,z'
'-x,-y,z'
'-x,y,z'
'x,-y,z'
loop_
_atom_site_label
_atom_site_type_symbol
_atom_site_fract_x
_atom_site_fract_y
_atom_site_fract_z
Ta1 Ta 0.000 0.000 0.000
Ga1 Ga 0.000 0.500 0.324
Ga2 Ga 0.500 0.000 0.491
Ga3 Ga 0.500 0.500 0.825
```

=====

[17]
First-principles (PBE) data for an optimized crystal structure of ZrRuC3, as listed in Alexandria via LeMat-Bulk.

Energy   -38.35 eV per cell
Energy of formation from the pure elements   1.430 eV per atom

Geometry as CIF:
```
data_ZrRuC3
_chemical_formula_sum 'Zr1 Ru1 C3'
_cell_length_a 3.933
_cell_length_b 3.933
_cell_length_c 3.933
_cell_angle_alpha 90.00
_cell_angle_beta 90.00
_cell_angle_gamma 90.00
_space_group_name_H-M_alt 'P m -3 m'
_space_group_IT_number 221
_space_group_name_Hall '-P 4 2 3'
loop_
_atom_site_label
_atom_site_type_symbol
_atom_site_fract_x
_atom_site_fract_y
_atom_site_fract_z
Zr1 Zr 0.000 0.000 0.000
Ru1 Ru 0.500 0.500 0.500
C1 C 0.000 0.500 0.500
```

=====

[18]
First-principles (PBE) data for an optimized crystal structure of LaBePPd2, as listed in Alexandria via LeMat-Bulk.

Energy   -24.15 eV per cell
Energy of formation from the pure elements   0.059 eV per atom

Geometry as CIF:
```
data_LaBePPd2
_chemical_formula_sum 'La1 Be1 P1 Pd2'
_cell_length_a 4.553
_cell_length_b 4.553
_cell_length_c 5.530
_cell_angle_alpha 90.00
_cell_angle_beta 90.00
_cell_angle_gamma 90.00
_space_group_name_H-M_alt 'P 4/m m m'
_space_group_IT_number 123
_space_group_name_Hall '-P 4 2'
loop_
_atom_site_label
_atom_site_type_symbol
_atom_site_fract_x
_atom_site_fract_y
_atom_site_fract_z
La1 La 0.000 0.000 0.000
Be1 Be 0.500 0.500 0.000
P1 P 0.000 0.000 0.500
Pd1 Pd 0.000 0.500 0.500
```

=====

[19]
First-principles (PBE) data for an optimized crystal structure of Sc6Pb3O, as listed in Alexandria via LeMat-Bulk.

Formation energy without anion corrections   -7.6 eV/f.u.
Energy   -246.88 eV per cell

Geometry as CIF:
```
data_Sc6Pb3O
_chemical_formula_sum 'Sc24 Pb12 O4'
_cell_length_a 11.278
_cell_length_b 14.366
_cell_length_c 5.783
_cell_angle_alpha 90.00
_cell_angle_beta 90.00
_cell_angle_gamma 90.00
_space_group_name_H-M_alt 'C m c 21'
_space_group_IT_number 36
loop_
_space_group_symop_operation_xyz
'x,y,z'
'-x,-y,z+1/2'
'-x,y,z'
'x,-y,z+1/2'
'x+1/2,y+1/2,z'
'-x+1/2,-y+1/2,z+1/2'
'-x+1/2,y+1/2,z'
'x+1/2,-y+1/2,z+1/2'
loop_
_atom_site_label
_atom_site_type_symbol
_atom_site_fract_x
_atom_site_fract_y
_atom_site_fract_z
Sc1 Sc 0.000 0.095 0.000
Sc2 Sc 0.000 0.284 0.683
Sc3 Sc 0.166 0.271 0.171
Sc4 Sc 0.216 0.435 0.587
Pb1 Pb 0.000 0.454 0.284
Pb2 Pb 0.139 0.105 0.507
O1 O 0.000 0.242 0.018
```

=====

[20]
First-principles (PBE) data for an optimized crystal structure of TiAlGa, as listed in Alexandria via LeMat-Bulk.

Energy   -63.11 eV per cell
Energy of formation from the pure elements   -0.371 eV per atom

Geometry as CIF:
```
data_TiAlGa
_chemical_formula_sum 'Ti4 Al4 Ga4'
_cell_length_a 3.891
_cell_length_b 13.338
_cell_length_c 3.734
_cell_angle_alpha 90.00
_cell_angle_beta 90.00
_cell_angle_gamma 90.00
_space_group_name_H-M_alt 'C m c m'
_space_group_IT_number 63
_space_group_name_Hall '-C 2c 2'
loop_
_atom_site_label
_atom_site_type_symbol
_atom_site_fract_x
_atom_site_fract_y
_atom_site_fract_z
Ti1 Ti 0.000 0.086 0.250
Al1 Al 0.000 0.253 0.750
Ga1 Ga 0.000 0.425 0.250
```